A plane-wave DFT calculation with PBE-GGA was carried out for a relaxed structure of K3Pu3SiS8.

extended XYZ file:
```
15
Lattice="3.978 2.297 7.436 -3.978 2.297 7.436 0.000 -4.594 7.436" Properties=species:S:1:pos:R:3 pbc="T T T"
K -1.989 -1.148 7.436
K -1.989 1.148 14.871
K 0.000 2.297 7.436
Pu -3.978 0.000 11.153
Pu -1.989 1.148 3.718
Pu 1.989 1.148 3.718
Si 0.000 0.000 11.153
S 0.000 0.000 5.216
S -1.763 -1.018 12.478
S 0.000 -2.036 9.828
S -1.763 1.018 9.828
S 1.763 -1.018 12.478
S 0.000 2.036 12.478
S 1.763 1.018 9.828
S 0.000 0.000 17.091
```

Its electronic total energy is -104.49 eV per cell. For the uncorrected formation energy, the calculation gives -1.32 eV per atom. For the total magnetization, the calculation gives 14.68 μB per cell.

A plane-wave DFT calculation with PBE-GGA was carried out for a relaxed structure of K2Sm2PuS6.

extended XYZ file:
```
11
Lattice="3.544 -6.104 0.000 3.544 6.104 0.000 -2.373 0.000 7.517" Properties=species:S:1:pos:R:3 pbc="T T T"
K 3.544 4.043 0.000
K 3.544 -4.043 0.000
Sm 2.357 2.027 3.759
Sm 2.357 -2.027 3.759
Pu -1.186 0.000 3.759
S -0.054 1.980 5.238
S 1.063 0.000 2.283
S -0.054 -1.980 5.238
S 4.769 1.980 2.279
S 3.652 0.000 5.234
S 4.769 -1.980 2.279
```

Its electronic total energy is -69.72 eV per cell. For the uncorrected formation energy, the calculation gives -1.73 eV per atom. For the total magnetization, the calculation gives 4.00 μB per cell.

A plane-wave DFT calculation with PBE-GGA was carried out for a relaxed structure of K3Sm3PuS8.

extended XYZ file:
```
15
Lattice="4.106 2.371 7.479 -4.106 2.371 7.479 0.000 -4.741 7.479" Properties=species:S:1:pos:R:3 pbc="T T T"
K -2.053 -1.185 7.479
K -2.053 1.185 14.958
K 0.000 2.371 7.479
Sm -4.106 0.000 11.218
Sm -2.053 1.185 3.739
Sm 2.053 1.185 3.739
Pu 0.000 0.000 11.218
S 0.000 0.000 5.269
S -1.977 -1.142 12.682
S 0.000 -2.283 9.755
S -1.977 1.142 9.755
S 1.977 -1.142 12.682
S 0.000 2.283 12.682
S 1.977 1.142 9.755
S 0.000 0.000 17.168
```

Its electronic total energy is -91.30 eV per cell. For the uncorrected formation energy, the calculation gives -1.77 eV per atom. For the total magnetization, the calculation gives 4.00 μB per cell.

Please write out number 2 again, unchanged.
A plane-wave DFT calculation with PBE-GGA was carried out for a relaxed structure of K2Sm2PuS6.

extended XYZ file:
```
11
Lattice="3.544 -6.104 0.000 3.544 6.104 0.000 -2.373 0.000 7.517" Properties=species:S:1:pos:R:3 pbc="T T T"
K 3.544 4.043 0.000
K 3.544 -4.043 0.000
Sm 2.357 2.027 3.759
Sm 2.357 -2.027 3.759
Pu -1.186 0.000 3.759
S -0.054 1.980 5.238
S 1.063 0.000 2.283
S -0.054 -1.980 5.238
S 4.769 1.980 2.279
S 3.652 0.000 5.234
S 4.769 -1.980 2.279
```

Its electronic total energy is -69.72 eV per cell. For the uncorrected formation energy, the calculation gives -1.73 eV per atom. For the total magnetization, the calculation gives 4.00 μB per cell.

> Look up the uncorrected formation energy of the first one.

-1.32 eV per atom